1.
VASP calculation (PBEsol) on a geometry-optimized TaSbIr2 structure.

```
4
Lattice="-1.3845 1.9275 -1.8016 -3.6601 -1.6287 1.0701 -0.3827 3.5454 4.0872" Properties=species:S:1:pos:R:3 pbc="T T T"
Ir -0.3707 3.4341 3.9589
Ir -2.6304 1.1512 0.7891
Sb -0.1769 1.6392 1.8897
Ta -2.8233 2.9379 2.8490
```

E_form (uncorrected) = -0.013 eV/atom
space-group type = No. 25
magnetization = 0.00 Bohr magnetons per cell
E = -36.809 eV for the cell shown


2.
VASP calculation (PBEsol) on a geometry-optimized Ti3AlF structure.

```
5
Lattice="4.1363 0.0000 0.0000 0.0000 4.1363 0.0000 0.0000 0.0000 4.1363" Properties=species:S:1:pos:R:3 pbc="T T T"
F 0.0000 0.0000 0.0000
Al 2.0681 2.0681 2.0681
Ti 0.0000 2.0681 0.0000
Ti 0.0000 0.0000 2.0681
Ti 2.0681 0.0000 0.0000
```

E_form (uncorrected) = -0.720 eV/atom
energy relative to the lowest polymorph listed for this composition = 0 meV/atom
space-group type = No. 221
magnetization = 0.01 Bohr magnetons per cell
E = -34.586 eV for the cell shown


3.
VASP calculation (PBEsol) on a geometry-optimized NbSOF2 structure.

```
5
Lattice="3.3201 0.0000 0.0000 0.0000 4.6431 0.0000 0.0000 0.0000 4.6431" Properties=species:S:1:pos:R:3 pbc="T T T"
Nb 1.6601 2.3216 2.3216
S 0.0000 0.0000 0.0000
O 1.6601 0.0000 0.0000
F 0.0000 0.0000 2.3216
F 0.0000 2.3216 0.0000
```

E_form (uncorrected) = -0.016 eV/atom
space-group type = No. 123
magnetization = 2.52 Bohr magnetons per cell
E = -24.392 eV for the cell shown


4.
VASP calculation (PBEsol) on a geometry-optimized LiBe3 structure.

```
4
Lattice="2.2236 0.0167 0.0000 -0.7299 2.1004 0.0000 0.0000 0.0000 7.6483" Properties=species:S:1:pos:R:3 pbc="T T T"
Be 0.0000 0.0000 1.7614
Be 0.7468 1.0586 0.0000
Be 0.0000 0.0000 5.8870
Li 0.7468 1.0586 3.8242
```

ΔH_f (0 K) = 0.15 eV/atom
energy relative to the lowest polymorph listed for this composition = 0 meV/atom
space-group type = No. 65
magnetization = 0.00 Bohr magnetons per cell
E = -13.375 eV for the cell shown


5.
VASP calculation (PBEsol) on a geometry-optimized AlNiN2 structure.

```
4
Lattice="-0.8403 2.7304 -0.2731 -2.7469 0.6060 -0.5685 -2.2942 1.3280 5.2572" Properties=species:S:1:pos:R:3 pbc="T T T"
Ni 0.0000 0.0000 0.0000
Al -2.9407 2.3322 2.2078
N -3.9245 3.4027 0.8587
N -1.9569 1.2617 3.5569
```

E_form (uncorrected) = -0.033 eV/atom
space-group type = No. 166
magnetization = 0.00 Bohr magnetons per cell
E = -27.435 eV for the cell shown


6.
VASP calculation (PBEsol) on a geometry-optimized FeCoRu2 structure.

```
4
Lattice="4.1354 0.0000 0.0000 2.0677 3.5814 0.0000 2.0677 1.1938 3.3765" Properties=species:S:1:pos:R:3 pbc="T T T"
Co 4.1354 2.3876 1.6883
Fe 6.2031 3.5814 2.5324
Ru 0.0000 0.0000 0.0000
Ru 2.0677 1.1938 0.8441
```

ΔH_f (0 K) = 0.38 eV/atom
energy relative to the lowest polymorph listed for this composition = 82 meV/atom
space-group type = No. 216
magnetization = 5.59 Bohr magnetons per cell
E = -35.531 eV for the cell shown


7.
VASP calculation (PBEsol) on a geometry-optimized CrGaFeSe4 structure.

```
7
Lattice="3.7140 0.0000 0.0000 1.8570 3.2165 0.0000 1.8570 1.0722 12.0339" Properties=species:S:1:pos:R:3 pbc="T T T"
Cr 3.7140 2.1443 5.9021
Ga 1.8570 1.0722 9.6021
Se 5.5711 3.2165 10.7518
Se 1.8570 1.0722 1.7089
Se 5.5711 3.2165 4.6061
Se 1.8570 1.0721 7.2201
Fe 5.5711 3.2165 2.3277
```

E_form (uncorrected) = -0.329 eV/atom
space-group type = No. 160
magnetization = 3.38 Bohr magnetons per cell
E = -40.250 eV for the cell shown


8.
VASP calculation (PBEsol) on a geometry-optimized DySiAg structure.

```
9
Lattice="-0.4888 2.2346 -3.4617 -5.9618 2.5165 2.4662 5.9494 3.3010 1.2907" Properties=species:S:1:pos:R:3 pbc="T T T"
Si 1.9790 3.0395 1.6826
Si -1.9914 2.7780 2.0744
Si -0.2444 1.1173 -1.7309
Ag -1.4839 0.6263 0.6138
Ag -0.0093 4.3695 2.8218
Ag 1.4808 0.8216 0.3213
Dy -3.7056 2.5783 -0.2991
Dy -0.2496 3.5573 -0.1551
Dy 3.2096 3.0337 -0.9815
```

E_form (uncorrected) = -0.662 eV/atom
space-group type = No. 189
magnetization = 0.00 Bohr magnetons per cell
E = -48.069 eV for the cell shown


9.
VASP calculation (PBEsol) on a geometry-optimized AlInAg2Se4 structure.

```
8
Lattice="-5.3266 0.1544 2.7160 -2.5119 -2.5715 -4.7802 4.9178 -3.9528 3.2840" Properties=species:S:1:pos:R:3 pbc="T T T"
Ag -0.7567 -3.8664 -1.2642
Ag -3.9192 -1.2086 -1.0321
Al -2.1640 -2.5035 2.4839
Se -1.7388 -1.9260 0.1860
Se -5.5732 -3.2127 -1.0628
Se 1.5521 -4.4465 -0.1844
Se -0.0815 -3.1547 3.5007
In 0.0000 0.0000 0.0000
```

E_form (uncorrected) = -0.471 eV/atom
space-group type = No. 82
magnetization = 0.00 Bohr magnetons per cell
E = -32.864 eV for the cell shown


10.
VASP calculation (PBEsol) on a geometry-optimized BaTcTe2 structure.

```
8
Lattice="6.6738 0.0000 0.0000 0.0000 6.6738 0.0000 -3.3369 -3.3369 6.6843" Properties=species:S:1:pos:R:3 pbc="T T T"
Te 2.3759 5.0053 1.6711
Te 4.2979 1.6684 1.6711
Te -1.6684 -0.9610 5.0132
Te 1.6684 0.9610 5.0132
Ba 0.0000 3.3369 3.3421
Ba 0.0000 0.0000 0.0000
Tc 3.3369 0.0000 3.3421
Tc 3.3369 3.3369 0.0000
```

E_form (uncorrected) = -0.192 eV/atom
energy relative to the lowest polymorph listed for this composition = 0 meV/atom
space-group type = No. 122
magnetization = 0.00 Bohr magnetons per cell
E = -42.474 eV for the cell shown


11.
VASP calculation (PBEsol) on a geometry-optimized As4S3 structure.

```
28
Lattice="-4.4767 6.2107 1.7985 -6.1025 -2.6694 -5.9716 -4.6451 -5.4252 7.1721" Properties=species:S:1:pos:R:3 pbc="T T T"
As -10.5523 1.8965 -1.5138
As -6.1065 -1.7903 5.0892
As -5.8617 1.4802 0.5795
As -7.9280 -5.3543 1.8433
As -7.2963 3.4704 1.1558
As -9.3626 -3.3642 2.4196
As -9.1178 -0.0937 -2.0901
As -4.6720 -3.7805 4.5129
As -6.9652 2.8053 -1.2331
As -8.2591 -4.6893 4.2321
As -5.4846 2.3055 4.1779
As -9.7397 -4.1895 -1.1789
As -8.7013 -0.8745 7.1524
As -6.5230 -1.0095 -4.1534
As -9.9730 -0.1308 1.4190
As -5.2513 -1.7531 1.5801
S -9.9700 -1.2563 5.3130
S -5.2543 -0.6277 -2.3140
S -11.7158 -1.0663 0.3116
S -3.5085 -0.8177 2.6875
S -9.4818 -6.9418 1.5972
S -3.8236 2.3956 0.6309
S -6.8693 -1.2161 3.0685
S -10.2740 1.9944 0.7015
S -5.7425 5.0579 1.4019
S -11.4007 -4.2796 2.3681
S -8.3550 -0.6678 -0.0694
S -4.9503 -3.8783 2.2975
```

E_form (uncorrected) = -0.065 eV/atom
space-group type = No. 62
magnetization = 0.00 Bohr magnetons per cell
E = -136.143 eV for the cell shown


12.
VASP calculation (PBEsol) on a geometry-optimized ZnAg2Au structure.

```
4
Lattice="-0.4866 -1.1388 -2.6758 1.4889 -2.4280 0.7626 -6.1927 -3.0379 2.4190" Properties=species:S:1:pos:R:3 pbc="T T T"
Zn -4.1348 -4.0576 0.8543
Au -3.2134 -1.5763 1.2552
Ag -6.0909 -2.9879 2.3792
Ag -1.0408 -2.5398 -0.3543
```

ΔH_f (0 K) = -0.10 eV/atom
space-group type = No. 99
magnetization = 0.00 Bohr magnetons per cell
E = -12.510 eV for the cell shown


The highest E belongs to which entry? ZnAg2Au


Repeat the fourth record exactly.
VASP calculation (PBEsol) on a geometry-optimized LiBe3 structure.

```
4
Lattice="2.2236 0.0167 0.0000 -0.7299 2.1004 0.0000 0.0000 0.0000 7.6483" Properties=species:S:1:pos:R:3 pbc="T T T"
Be 0.0000 0.0000 1.7614
Be 0.7468 1.0586 0.0000
Be 0.0000 0.0000 5.8870
Li 0.7468 1.0586 3.8242
```

ΔH_f (0 K) = 0.15 eV/atom
energy relative to the lowest polymorph listed for this composition = 0 meV/atom
space-group type = No. 65
magnetization = 0.00 Bohr magnetons per cell
E = -13.375 eV for the cell shown